[1]
First-principles (PBE) data for a geometry-optimized CeNd2Dy2Er2 structure, as listed in Alexandria via LeMat-Bulk.

Unit cell a=3.4834 b=9.1943 c=8.3230 alpha=118.45 beta=90.00 gamma=100.92
Sites, in units of the cell vectors:
Dy  0.4292  0.8585  0.7572
Nd  0.6430  0.2859  0.9030
Dy  0.5708  0.1415  0.2428
Er  0.7887  0.5775  0.3730
Ce  0.0000  0.0000  0.5000
Er  0.2113  0.4225  0.6270
Nd  0.3570  0.7141  0.0970

Summary:
The crystal system is monoclinic. For the formation energy, the calculation gives 0.1504 eV/atom. The space group is C2/m. The total moment is 0.0 Bohr magnetons per cell.

=====

[2]
First-principles (PBE) data for a geometry-optimized Ce2Nd3DyEr6 structure, as listed in Alexandria via LeMat-Bulk.

Unit cell a=6.1653 b=6.1653 c=11.6982 alpha=95.04 beta=95.04 gamma=119.98
Sites, in units of the cell vectors:
Er  0.5825  0.9178  0.7542
Dy  0.0000  0.0000  0.0000
Nd  0.1659  0.8341  0.5000
Nd  0.8341  0.1659  0.5000
Nd  0.5000  0.5000  0.5000
Ce  0.3336  0.6664  0.0000
Er  0.7467  0.7467  0.2459
Er  0.0822  0.4175  0.2458
Er  0.2533  0.2533  0.7541
Ce  0.6664  0.3336  0.0000
Er  0.4175  0.0822  0.2458
Er  0.9178  0.5825  0.7542

Summary:
The crystal system is monoclinic. For the formation energy, the calculation gives 0.0441 eV/atom. The space group is C2/m. The total moment is 1.9 Bohr magnetons per cell.